[1]
La2WC: relaxed, PBE.

abc: 7.4666 7.4666 7.4666
angles: 94.27 94.27 148.33
Element x y z (fractional)
La  0.3750  0.1975  0.3225
La  0.8025  0.1250  0.1775
La  0.8750  0.0525  0.6775
La  0.9475  0.6250  0.8225
W  0.2500  0.7500  0.5000
W  0.5000  0.5000  0.0000
C  0.0000  0.0000  0.0000
C  0.7500  0.2500  0.5000

Space-group type = No. 122
Crystal system = tetragonal

***

[2]
LaWC3: relaxed, PBE.

abc: 4.1389 4.1389 4.1389
angles: 90.00 90.00 90.00
Element x y z (fractional)
La  0.0000  0.0000  0.0000
W  0.5000  0.5000  0.5000
C  0.0000  0.5000  0.5000
C  0.5000  0.0000  0.5000
C  0.5000  0.5000  0.0000

Space-group type = No. 221
Crystal system = cubic

***

[3]
La2Y4C: relaxed, PBE.

abc: 9.8220 9.8220 9.8220
angles: 151.12 151.12 41.30
Element x y z (fractional)
La  0.1802  0.1802  0.0000
La  0.8198  0.8198  0.0000
Y  0.0000  0.5000  0.5000
Y  0.3695  0.3695  0.0000
Y  0.5000  0.0000  0.5000
Y  0.6305  0.6305  0.0000
C  0.5000  0.5000  0.0000

Space-group type = No. 139
Crystal system = tetragonal

***

[4]
La2YC: relaxed, PBE.

abc: 10.3584 10.3584 10.3584
angles: 20.34 20.34 20.34
Element x y z (fractional)
La  0.1184  0.1184  0.1184
La  0.8816  0.8816  0.8816
Y  0.0000  0.0000  0.0000
C  0.5000  0.5000  0.5000

Space-group type = No. 166
Crystal system = trigonal

***

[5]
LaYC: relaxed, PBE.

abc: 3.6505 3.6505 6.6494
angles: 90.00 90.00 120.00
Element x y z (fractional)
La  0.0000  0.0000  0.0000
Y  0.3333  0.6667  0.4215
C  0.6667  0.3333  0.2275

Space-group type = No. 156
Crystal system = trigonal

***

[6]
La4YC10: relaxed, PBE.

abc: 14.1546 14.0473 4.2685
angles: 82.72 79.87 17.41
Element x y z (fractional)
La  0.0984  0.0984  0.9016
La  0.3010  0.3010  0.6990
La  0.6990  0.6990  0.3010
La  0.9016  0.9016  0.0984
Y  0.5000  0.5000  0.5000
C  0.1003  0.2992  0.7008
C  0.1002  0.8998  0.1002
C  0.2992  0.1003  0.8997
C  0.3050  0.5040  0.4960
C  0.4960  0.6950  0.3050
C  0.5040  0.3050  0.6950
C  0.6950  0.4960  0.5040
C  0.7008  0.8997  0.1003
C  0.8998  0.1002  0.8998
C  0.8997  0.7008  0.2992

Space-group type = No. 69
Crystal system = orthorhombic

***

no.,raw total energy (eV/cell),magnetic moment (μB per cell),energy of formation from the pure elements (meV/atom)
1,-61.94,0.0,265
2,-42.81,0.0,549
3,-44.20,0.0,105
4,-25.32,0.0,56
5,-21.14,0.0,-176
6,-120.60,0.0,-146